Entry 1
A geometry-optimized Ce5TcBi2 structure, computed with PBE.

POSCAR file:
```
Ce5TcBi2
1.0
2.625 -8.411 0.000
2.625 8.411 0.000
0.000 0.000 13.336
Ce Tc Bi
10 2 4
Direct
0.064 0.936 0.607 Ce
0.064 0.936 0.893 Ce
0.276 0.724 0.550 Ce
0.276 0.724 0.950 Ce
0.298 0.702 0.250 Ce
0.702 0.298 0.750 Ce
0.724 0.276 0.050 Ce
0.724 0.276 0.450 Ce
0.936 0.064 0.107 Ce
0.936 0.064 0.393 Ce
0.164 0.836 0.750 Tc
0.836 0.164 0.250 Tc
0.129 0.871 0.120 Bi
0.129 0.871 0.380 Bi
0.871 0.129 0.620 Bi
0.871 0.129 0.880 Bi
```

Summary:
Fermi-level density of states = 3.5357 states/eV/atom



Entry 2
A geometry-optimized Ce5TcBi2 structure, computed with PBE.

POSCAR file:
```
Ce5TcBi2
1.0
7.982 0.000 0.000
0.000 12.506 0.000
0.000 0.000 4.648
Ce Tc Bi
10 2 4
Direct
0.000 0.000 0.000 Ce
0.120 0.307 0.000 Ce
0.208 0.555 0.500 Ce
0.292 0.055 0.500 Ce
0.380 0.807 0.000 Ce
0.500 0.500 0.000 Ce
0.620 0.193 0.000 Ce
0.708 0.945 0.500 Ce
0.792 0.445 0.500 Ce
0.880 0.693 0.000 Ce
0.000 0.500 0.000 Tc
0.500 0.000 0.000 Tc
0.091 0.820 0.500 Bi
0.409 0.320 0.500 Bi
0.591 0.680 0.500 Bi
0.909 0.180 0.500 Bi
```

Summary:
Fermi-level density of states = 3.2373 states/eV/atom



Which of them is the most stable, and which is the least stable? entry 2 and entry 1, in that order.



Entry 1
A geometry-optimized CeBiTe2 structure, computed with PBE.

POSCAR file:
```
CeBiTe2
1.0
4.274 0.000 0.000
-2.137 3.701 0.000
0.000 0.000 30.002
Ce Bi Te
3 3 6
Direct
0.000 0.000 0.000 Ce
0.333 0.667 0.667 Ce
0.667 0.333 0.333 Ce
0.000 0.000 0.500 Bi
0.333 0.667 0.167 Bi
0.667 0.333 0.833 Bi
0.000 0.000 0.397 Te
0.000 0.000 0.603 Te
0.333 0.667 0.064 Te
0.333 0.667 0.270 Te
0.667 0.333 0.730 Te
0.667 0.333 0.936 Te
```

Summary:
Fermi-level density of states = 1.6845 states/eV/atom



Entry 2
A geometry-optimized CeBiTe2 structure, computed with PBE.

POSCAR file:
```
CeBiTe2
1.0
5.416 0.000 0.000
0.000 5.416 0.000
0.000 0.000 4.060
Ce Bi Te
1 1 2
Direct
0.000 0.000 0.000 Ce
0.500 0.500 0.000 Bi
0.000 0.500 0.500 Te
0.500 0.000 0.500 Te
```

Summary:
Fermi-level density of states = 2.1070 states/eV/atom



Which of them is the most stable, and which is the least stable? entry 2 and entry 1, in that order.



Entry 1
A geometry-optimized Ce2BiTe structure, computed with PBE.

POSCAR file:
```
Ce2BiTe
1.0
3.889 0.000 0.000
0.000 3.889 0.000
0.000 0.000 7.865
Ce Bi Te
2 1 1
Direct
0.000 0.000 0.248 Ce
0.000 0.000 0.752 Ce
0.500 0.500 0.500 Bi
0.500 0.500 0.000 Te
```

Summary:
Fermi-level density of states = 3.1297 states/eV/atom



Entry 2
A geometry-optimized Ce2BiTe structure, computed with PBE.

POSCAR file:
```
Ce2BiTe
1.0
4.506 0.000 0.000
-2.253 3.903 0.000
0.000 0.000 15.487
Ce Bi Te
4 2 2
Direct
0.333 0.667 0.122 Ce
0.333 0.667 0.378 Ce
0.667 0.333 0.622 Ce
0.667 0.333 0.878 Ce
0.000 0.000 0.000 Bi
0.000 0.000 0.500 Bi
0.333 0.667 0.750 Te
0.667 0.333 0.250 Te
```

Summary:
Fermi-level density of states = 3.9246 states/eV/atom



Which of them is the most stable, and which is the least stable? entry 2 and entry 1, in that order.



Entry 1
A geometry-optimized CeThBi2 structure, computed with PBE.

POSCAR file:
```
CeThBi2
1.0
3.935 0.000 0.000
0.000 3.935 0.000
0.000 0.000 7.919
Ce Th Bi
1 1 2
Direct
0.000 0.000 0.000 Ce
0.000 0.000 0.500 Th
0.500 0.500 0.249 Bi
0.500 0.500 0.751 Bi
```

Summary:
Fermi-level density of states = 1.9394 states/eV/atom



Entry 2
A geometry-optimized CeThBi2 structure, computed with PBE.

POSCAR file:
```
CeThBi2
1.0
4.446 0.000 0.000
-2.223 3.850 0.000
0.000 0.000 24.204
Ce Th Bi
3 3 6
Direct
0.000 0.000 0.000 Ce
0.333 0.667 0.667 Ce
0.667 0.333 0.333 Ce
0.000 0.000 0.828 Th
0.333 0.667 0.495 Th
0.667 0.333 0.162 Th
0.000 0.000 0.412 Bi
0.000 0.000 0.582 Bi
0.333 0.667 0.078 Bi
0.333 0.667 0.249 Bi
0.667 0.333 0.745 Bi
0.667 0.333 0.915 Bi
```

Summary:
Fermi-level density of states = 2.4000 states/eV/atom



Which of them is the most stable, and which is the least stable? entry 2 and entry 1, in that order.



Entry 1
A geometry-optimized CeTh2Bi structure, computed with PBE.

POSCAR file:
```
CeTh2Bi
1.0
4.851 0.000 0.000
0.000 4.851 0.000
0.000 0.000 5.087
Ce Th Bi
1 2 1
Direct
0.000 0.000 0.000 Ce
0.000 0.500 0.500 Th
0.500 0.000 0.500 Th
0.500 0.500 0.000 Bi
```

Summary:
Fermi-level density of states = 2.2067 states/eV/atom



Entry 2
A geometry-optimized CeTh2Bi structure, computed with PBE.

POSCAR file:
```
CeTh2Bi
1.0
4.195 0.000 0.000
0.000 4.195 0.000
0.000 0.000 7.046
Ce Th Bi
1 2 1
Direct
0.000 0.000 0.000 Ce
0.500 0.500 0.255 Th
0.500 0.500 0.745 Th
0.000 0.000 0.500 Bi
```

Summary:
Fermi-level density of states = 2.2328 states/eV/atom



Which of them is the most stable, and which is the least stable? entry 1 and entry 2, in that order.



Entry 1
A geometry-optimized CeTiBi2 structure, computed with PBE.

POSCAR file:
```
CeTiBi2
1.0
3.667 0.000 0.000
0.000 3.667 0.000
0.000 0.000 7.845
Ce Ti Bi
1 1 2
Direct
0.000 0.000 0.000 Ce
0.000 0.000 0.500 Ti
0.500 0.500 0.283 Bi
0.500 0.500 0.717 Bi
```

Summary:
Fermi-level density of states = 2.0391 states/eV/atom



Entry 2
A geometry-optimized CeTiBi2 structure, computed with PBE.

POSCAR file:
```
CeTiBi2
1.0
4.185 0.000 0.000
0.000 4.185 0.000
0.000 0.000 14.013
Ce Ti Bi
2 2 4
Direct
0.000 0.000 0.000 Ce
0.500 0.500 0.500 Ce
0.000 0.500 0.750 Ti
0.500 0.000 0.250 Ti
0.000 0.000 0.377 Bi
0.000 0.000 0.623 Bi
0.500 0.500 0.123 Bi
0.500 0.500 0.877 Bi
```

Summary:
Fermi-level density of states = 1.7853 states/eV/atom



Which of them is the most stable, and which is the least stable? entry 1 and entry 2, in that order.



Entry 1
A geometry-optimized Ce4TlBi5 structure, computed with PBE.

POSCAR file:
```
Ce4TlBi5
1.0
8.912 -2.475 0.000
8.912 2.475 0.000
-4.510 0.000 7.781
Ce Tl Bi
4 1 5
Direct
0.018 0.018 0.258 Ce
0.334 0.334 0.079 Ce
0.666 0.666 0.921 Ce
0.982 0.982 0.742 Ce
0.500 0.500 0.500 Tl
0.158 0.158 0.663 Bi
0.175 0.175 0.180 Bi
0.500 0.500 0.000 Bi
0.825 0.825 0.820 Bi
0.842 0.842 0.337 Bi
```

Summary:
Fermi-level density of states = 2.6133 states/eV/atom



Entry 2
A geometry-optimized Ce4TlBi5 structure, computed with PBE.

POSCAR file:
```
Ce4TlBi5
1.0
-2.253 5.705 6.332
2.253 -5.705 6.332
2.253 5.705 -6.332
Ce Tl Bi
4 1 5
Direct
0.208 0.500 0.708 Ce
0.246 0.246 0.000 Ce
0.754 0.754 0.000 Ce
0.792 0.500 0.292 Ce
0.500 0.500 0.000 Tl
0.000 0.000 0.000 Bi
0.162 0.838 0.323 Bi
0.485 0.162 0.323 Bi
0.515 0.838 0.677 Bi
0.838 0.162 0.677 Bi
```

Summary:
Fermi-level density of states = 2.5798 states/eV/atom



Which of them is the most stable, and which is the least stable? entry 2 and entry 1, in that order.



Entry 1
A geometry-optimized Ce6TlBi structure, computed with PBE.

POSCAR file:
```
Ce6TlBi
1.0
4.830 0.000 0.000
0.000 4.830 0.000
0.000 0.000 9.611
Ce Tl Bi
6 1 1
Direct
0.000 0.000 0.000 Ce
0.000 0.000 0.500 Ce
0.000 0.500 0.250 Ce
0.000 0.500 0.750 Ce
0.500 0.000 0.250 Ce
0.500 0.000 0.750 Ce
0.500 0.500 0.000 Tl
0.500 0.500 0.500 Bi
```

Summary:
Fermi-level density of states = 2.9624 states/eV/atom



Entry 2
A geometry-optimized Ce6TlBi structure, computed with PBE.

POSCAR file:
```
Ce6TlBi
1.0
6.012 0.000 0.000
1.080 5.934 0.000
0.339 0.342 6.286
Ce Tl Bi
6 1 1
Direct
0.046 0.452 0.251 Ce
0.211 0.050 0.485 Ce
0.449 0.289 0.014 Ce
0.551 0.711 0.986 Ce
0.789 0.950 0.515 Ce
0.954 0.548 0.749 Ce
0.500 0.500 0.500 Tl
0.000 0.000 0.000 Bi
```

Summary:
Fermi-level density of states = 2.9378 states/eV/atom



Which of them is the most stable, and which is the least stable? entry 1 and entry 2, in that order.